i.
{
  "formula": "Os2RuAu",
  "functional": "GGA-PBE",
  "state": "optimized geometry",
  "spacegroup": "I-42d, No. 122",
  "magnetic_moment_mub_per_fu": 0.00,
  "lattice_angstrom": [[-3.7462, -5.6359, 2.5038], [4.3536, -4.4917, -3.5967], [1.8930, -5.1936, 1.5394]],
  "species": ["Os", "Os", "Os", "Os", "Ru", "Ru", "Au", "Au"],
  "frac_coords": [[0.8750, 0.8275, 0.7500], [0.5775, 0.1250, 0.2500], [0.1725, 0.6250, 0.2500], [0.3750, 0.4225, 0.7500], [0.5000, 0.5000, 0.0000], [0.2500, 0.7500, 0.5000], [0.0000, 0.0000, 0.0000], [0.7500, 0.2500, 0.5000]]
}

ii.
{
  "formula": "Os2RuAu",
  "functional": "GGA-PBE",
  "state": "optimized geometry",
  "spacegroup": "P4/mmm, No. 123",
  "magnetic_moment_mub_per_fu": 0.00,
  "lattice_angstrom": [[-2.0521, -0.3313, -1.7909], [1.8210, -0.3272, -2.0261], [0.0907, -7.8897, 1.3555]],
  "species": ["Os", "Os", "Ru", "Au"],
  "frac_coords": [[0.0000, 0.0000, 0.0174], [0.0000, 0.0000, 0.4826], [0.5000, 0.5000, 0.2500], [0.5000, 0.5000, 0.7500]]
}

iii.
{
  "formula": "Os2RuAu",
  "functional": "GGA-PBE",
  "state": "optimized geometry",
  "spacegroup": "Cmm2, No. 35",
  "magnetic_moment_mub_per_fu": 1.43,
  "lattice_angstrom": [[2.7235, 0.0048, 0.0000], [-1.3291, 2.3772, 0.0000], [0.0000, 0.0000, 9.6265]],
  "species": ["Os", "Os", "Au", "Ru"],
  "frac_coords": [[0.0000, 0.0000, 0.0155], [0.5000, 0.5000, 0.2511], [0.5000, 0.5000, 0.7477], [0.0000, 0.0000, 0.4856]]
}

Stability check: which of them is least stable? i.

i.
{
  "formula": "Hg2IrRh",
  "functional": "GGA-PBE",
  "state": "optimized geometry",
  "spacegroup": "P4/mmm, No. 123",
  "magnetic_moment_mub_per_fu": 0.00,
  "lattice_angstrom": [[-1.9100, -3.5232, 2.3046], [4.1196, -2.0858, 0.2255], [0.6128, 1.5158, 2.8251]],
  "species": ["Hg", "Hg", "Rh", "Ir"],
  "frac_coords": [[0.0000, 0.5000, 0.0000], [0.5000, 0.0000, 0.0000], [0.0000, 0.0000, 0.5000], [0.5000, 0.5000, 0.5000]]
}

ii.
{
  "formula": "Hg2IrRh",
  "functional": "GGA-PBE",
  "state": "optimized geometry",
  "spacegroup": "Pm, No. 6",
  "magnetic_moment_mub_per_fu": 0.00,
  "lattice_angstrom": [[-0.3648, 3.4542, 2.9211], [-2.9260, 0.0772, -0.4566], [-2.2244, -3.4294, 3.7774]],
  "species": ["Hg", "Hg", "Rh", "Ir"],
  "frac_coords": [[0.0000, 0.9481, 0.9706], [0.5000, 0.3012, 0.2809], [0.5000, 0.5637, 0.7425], [0.0000, 0.6870, 0.5061]]
}

Stability check: which of them is least stable? ii.

i.
{
  "formula": "ErZrOs",
  "functional": "GGA-PBE",
  "state": "optimized geometry",
  "spacegroup": "F-43m, No. 216",
  "magnetic_moment_mub_per_fu": 0.00,
  "lattice_angstrom": [[-1.0022, -3.0477, -3.3492], [3.2486, -2.9525, -1.4966], [-0.3342, -4.5167, 0.9989]],
  "species": ["Os", "Er", "Zr"],
  "frac_coords": [[0.2500, 0.2500, 0.2500], [0.5000, 0.5000, 0.5000], [0.0000, 0.0000, 0.0000]]
}

ii.
{
  "formula": "ErZrOs",
  "functional": "GGA-PBE",
  "state": "optimized geometry",
  "spacegroup": "Fddd, No. 70",
  "magnetic_moment_mub_per_fu": 0.00,
  "lattice_angstrom": [[6.5781, 0.0635, -0.0015], [-0.1368, 6.5770, 0.0063], [-3.2140, -3.3219, 6.5616]],
  "species": ["Zr", "Zr", "Zr", "Zr", "Er", "Er", "Er", "Er", "Os", "Os", "Os", "Os"],
  "frac_coords": [[0.9105, 0.3356, 0.7461], [0.6644, 0.0895, 0.2539], [0.4144, 0.3394, 0.7539], [0.6605, 0.5856, 0.2461], [0.9116, 0.8367, 0.7483], [0.1634, 0.0884, 0.2517], [0.1616, 0.5867, 0.2483], [0.4133, 0.8383, 0.7517], [0.0232, 0.4483, 0.5001], [0.3017, 0.2268, 0.9999], [0.7732, 0.6983, 0.0001], [0.5517, 0.9768, 0.4999]]
}

Stability check: which of them is least stable? i.

i.
{
  "formula": "TaAlBr",
  "functional": "GGA-PBE",
  "state": "optimized geometry",
  "spacegroup": "F-43m, No. 216",
  "magnetic_moment_mub_per_fu": 0.00,
  "lattice_angstrom": [[4.4379, 0.0000, 0.0000], [2.2189, 3.8433, 0.0000], [2.2189, 1.2811, 3.6235]],
  "species": ["Ta", "Al", "Br"],
  "frac_coords": [[0.0000, 0.0000, 0.0000], [0.5000, 0.5000, 0.5000], [0.7500, 0.7500, 0.7500]]
}

ii.
{
  "formula": "TaAlBr",
  "functional": "GGA-PBE",
  "state": "optimized geometry",
  "spacegroup": "P1, No. 1",
  "magnetic_moment_mub_per_fu": 0.00,
  "lattice_angstrom": [[-2.0972, -0.0365, -2.2441], [-0.6047, -3.4683, 0.6215], [-7.9262, 3.0930, 9.3241]],
  "species": ["Br", "Br", "Ta", "Ta", "Al", "Al"],
  "frac_coords": [[0.5264, 0.4379, 0.9059], [0.8632, 0.9458, 0.6279], [0.2147, 0.4424, 0.3099], [0.1039, 0.4397, 0.0718], [0.6577, 0.9410, 0.1873], [0.7754, 0.9439, 0.4401]]
}

Stability check: which of them is least stable? i.

i.
{
  "formula": "KBaLa2",
  "functional": "GGA-PBE",
  "state": "optimized geometry",
  "spacegroup": "Immm, No. 71",
  "magnetic_moment_mub_per_fu": 0.02,
  "lattice_angstrom": [[7.9451, 0.0056, 0.0051], [4.2265, 6.7277, -0.0051], [-5.2624, -4.8551, 3.4438]],
  "species": ["K", "La", "La", "Ba"],
  "frac_coords": [[0.2500, 0.7500, 0.5000], [0.9968, 0.9968, 0.0000], [0.5032, 0.5032, 0.0000], [0.7500, 0.2500, 0.5000]]
}

ii.
{
  "formula": "KBaLa2",
  "functional": "GGA-PBE",
  "state": "optimized geometry",
  "spacegroup": "P2/m, No. 10",
  "magnetic_moment_mub_per_fu": 0.01,
  "lattice_angstrom": [[-3.3287, -1.6916, 5.8274], [2.8358, -2.4481, 0.9092], [3.8831, 4.6844, 3.5779]],
  "species": ["K", "Ba", "La", "La"],
  "frac_coords": [[0.5000, 0.7500, 0.7500], [0.5000, 0.2500, 0.2500], [0.0000, 0.5165, 0.4807], [0.0000, 0.9835, 0.0193]]
}

Stability check: which of them is least stable? ii.

i.
{
  "formula": "CaSe2Br",
  "functional": "GGA-PBE",
  "state": "optimized geometry",
  "spacegroup": "I-42d, No. 122",
  "magnetic_moment_mub_per_fu": 0.00,
  "lattice_angstrom": [[5.6629, 0.0000, 0.0000], [0.0000, 5.6629, 0.0000], [2.8315, 2.8315, 8.3445]],
  "species": ["Ca", "Ca", "Se", "Se", "Se", "Se", "Br", "Br"],
  "frac_coords": [[0.5000, 0.5000, 0.0000], [0.2500, 0.7500, 0.5000], [0.1103, 0.6250, 0.2500], [0.6397, 0.1250, 0.2500], [0.8750, 0.8897, 0.7500], [0.3750, 0.3603, 0.7500], [0.7500, 0.2500, 0.5000], [0.0000, 0.0000, 0.0000]]
}

ii.
{
  "formula": "CaSe2Br",
  "functional": "GGA-PBE",
  "state": "optimized geometry",
  "spacegroup": "R-3m, No. 166",
  "magnetic_moment_mub_per_fu": 0.00,
  "lattice_angstrom": [[2.6628, 0.0000, 7.7031], [-1.3314, 2.3061, 7.7031], [-1.3314, -2.3061, 7.7031]],
  "species": ["Se", "Se", "Ca", "Br"],
  "frac_coords": [[0.1111, 0.1111, 0.1111], [0.8889, 0.8889, 0.8889], [0.5000, 0.5000, 0.5000], [0.0000, 0.0000, 0.0000]]
}

Stability check: which of them is least stable? i.

i.
{
  "formula": "KNiMo2",
  "functional": "GGA-PBE",
  "state": "optimized geometry",
  "spacegroup": "Immm, No. 71",
  "magnetic_moment_mub_per_fu": 0.00,
  "lattice_angstrom": [[-5.6148, -1.0030, -2.5544], [-4.7825, -3.4163, -2.1245], [-3.6826, -0.6685, 3.3767]],
  "species": ["Mo", "Mo", "K", "Ni"],
  "frac_coords": [[0.9541, 0.9541, 0.0458], [0.5459, 0.5459, 0.4542], [0.7500, 0.7500, 0.7500], [0.2500, 0.2500, 0.2500]]
}

ii.
{
  "formula": "KNiMo2",
  "functional": "GGA-PBE",
  "state": "optimized geometry",
  "spacegroup": "F-43m, No. 216",
  "magnetic_moment_mub_per_fu": 0.00,
  "lattice_angstrom": [[-4.2925, -0.9904, -1.2624], [-1.2872, -4.3679, -0.5136], [-2.8897, -1.9054, 3.0032]],
  "species": ["Ni", "Mo", "Mo", "K"],
  "frac_coords": [[0.7500, 0.7500, 0.7500], [0.2500, 0.2500, 0.2500], [0.0000, 0.0000, 0.0000], [0.5000, 0.5000, 0.5000]]
}

Stability check: which of them is least stable? ii.

i.
{
  "formula": "BC5",
  "functional": "GGA-PBE",
  "state": "optimized geometry",
  "spacegroup": "C2/m, No. 12",
  "magnetic_moment_mub_per_fu": 0.00,
  "lattice_angstrom": [[0.7304, 1.9732, -3.8259], [-0.5929, -0.1977, -4.3214], [-5.8382, 2.6091, 4.1613]],
  "species": ["C", "C", "C", "C", "C", "C", "C", "C", "C", "C", "B", "B"],
  "frac_coords": [[0.8444, 0.8444, 0.0366], [0.1600, 0.1600, 0.7164], [0.5006, 0.5006, 0.8735], [0.1807, 0.1807, 0.1971], [0.6660, 0.6660, 0.8349], [0.3521, 0.3521, 0.1536], [0.8146, 0.8146, 0.5548], [0.9859, 0.9859, 0.5112], [0.3223, 0.3223, 0.6718], [0.0067, 0.0067, 0.9920], [0.4781, 0.4781, 0.3936], [0.6885, 0.6885, 0.3147]]
}

ii.
{
  "formula": "BC5",
  "functional": "GGA-PBE",
  "state": "optimized geometry",
  "spacegroup": "P-1, No. 2",
  "magnetic_moment_mub_per_fu": 0.00,
  "lattice_angstrom": [[4.2921, -0.0203, -1.2935], [2.7147, 3.2665, -1.2968], [0.0034, -0.0037, 5.1858]],
  "species": ["C", "C", "C", "C", "C", "C", "C", "C", "C", "C", "B", "B"],
  "frac_coords": [[0.5893, 0.0870, 0.4284], [0.9047, 0.4265, 0.0807], [0.3338, 0.3322, 0.6671], [0.6622, 0.6666, 0.8306], [0.9212, 0.4168, 0.5860], [0.2495, 0.7512, 0.7495], [0.9962, 0.9992, 0.5086], [0.9940, 0.9963, 0.9882], [0.6787, 0.6568, 0.3360], [0.5872, 0.0842, 0.9080], [0.2355, 0.8132, 0.2639], [0.3478, 0.2701, 0.1527]]
}

Stability check: which of them is least stable? ii.

i.
{
  "formula": "KHg2Au",
  "functional": "GGA-PBE",
  "state": "optimized geometry",
  "spacegroup": "C2/m, No. 12",
  "magnetic_moment_mub_per_fu": 0.00,
  "lattice_angstrom": [[4.9286, -0.1058, 0.1197], [2.5474, 4.2205, 0.1197], [2.3547, 1.2960, 5.8060]],
  "species": ["Hg", "Hg", "Au", "K"],
  "frac_coords": [[0.5363, 0.5363, 0.3920], [0.9637, 0.9637, 0.1080], [0.2500, 0.2500, 0.2500], [0.7500, 0.7500, 0.7500]]
}

ii.
{
  "formula": "KHg2Au",
  "functional": "GGA-PBE",
  "state": "optimized geometry",
  "spacegroup": "P4/mmm, No. 123",
  "magnetic_moment_mub_per_fu": 0.00,
  "lattice_angstrom": [[-0.3657, -3.4792, 1.6124], [3.0208, 0.7391, 2.2732], [-4.5871, 2.8740, 5.1611]],
  "species": ["K", "Au", "Hg", "Hg"],
  "frac_coords": [[0.5000, 0.5000, 0.2500], [0.5000, 0.5000, 0.7500], [0.0000, 0.0000, 0.5443], [0.0000, 0.0000, 0.9557]]
}

Stability check: which of them is least stable? ii.

i.
{
  "formula": "CuRe2Mo",
  "functional": "GGA-PBE",
  "state": "optimized geometry",
  "spacegroup": "P4/mmm, No. 123",
  "magnetic_moment_mub_per_fu": 0.00,
  "lattice_angstrom": [[-1.6866, -3.0551, 1.6783], [3.3206, -0.8414, 1.8055], [-1.0559, 2.2174, 2.9754]],
  "species": ["Re", "Re", "Mo", "Cu"],
  "frac_coords": [[0.5000, 0.5000, 0.0000], [0.0000, 0.0000, 0.0000], [0.0000, 0.5000, 0.5000], [0.5000, 0.0000, 0.5000]]
}

ii.
{
  "formula": "CuRe2Mo",
  "functional": "GGA-PBE",
  "state": "optimized geometry",
  "spacegroup": "C2/m, No. 12",
  "magnetic_moment_mub_per_fu": 0.00,
  "lattice_angstrom": [[5.2304, -0.0056, 0.0282], [-2.4375, 4.6278, 0.0282], [0.5463, 0.9040, 2.4430]],
  "species": ["Mo", "Re", "Re", "Cu"],
  "frac_coords": [[0.0000, 0.5000, 0.5000], [0.0000, 0.0000, 0.0000], [0.5000, 0.5000, 0.0000], [0.5000, 0.0000, 0.5000]]
}

Stability check: which of them is least stable? ii.